The following is a DFT calculation (PBE-GGA) of an optimized crystal structure of Ca5Fe4.

The value obtained for the total DFT energy (no corrections) is -4.3739 eV per atom. Its formation enthalpy at 0 K is 0.499 eV/atom. For the density of states at the Fermi level, the calculation gives 20.4 states/eV per cell. As for the volume: 420.4 Å³/cell. The value obtained for the energy above the most stable polymorph in this dataset is 0 meV/atom.

It has space group I4/mmm (No. 139), with a = 9.583 Å, b = 9.583 Å, c = 4.578 Å, α = 90.00°, β = 90.00° and γ = 90.00°. Symmetry generates all atoms from Ca at (0.000, 0.000, 0.000), Ca at (0.178, 0.178, 0.500) and Fe at (0.000, 0.384, 0.000).